VASP calculation (PBE with a Hubbard U) on a geometry-optimized LiNiBP2H6O11 structure.

abc: 9.447 9.447 15.895
angles: 90.00 90.00 120.00
Each line ends with the local moment (μB).
Atoms (fractional coordinates):
1 O 0.858 0.478 0.789  0.03
2 O 0.977 0.787 0.769  0.00
3 O 0.478 0.620 0.622  0.03
4 O 0.584 0.764 0.487  0.00
5 O 0.820 0.236 0.180  0.00
6 O 0.213 0.191 0.103  0.00
7 O 0.478 0.858 0.211  0.03
8 O 0.416 0.180 0.846  0.00
9 O 0.387 0.066 0.120  0.03
10 O 0.522 0.380 0.122  0.03
11 O 0.180 0.764 0.680  0.00
12 O 0.679 0.066 0.047  0.03
13 O 0.706 0.504 0.949  0.03
14 O 0.113 0.225 0.583  0.00
15 O 0.202 0.706 0.116  0.03
16 O 0.180 0.416 0.154  0.00
17 O 0.380 0.522 0.878  0.03
18 O 0.620 0.478 0.378  0.03
19 O 0.023 0.213 0.269  0.00
20 O 0.066 0.387 0.880  0.03
21 O 0.236 0.416 0.013  0.00
22 O 0.620 0.142 0.455  0.03
23 O 0.142 0.522 0.289  0.03
24 O 0.787 0.809 0.603  0.00
25 O 0.202 0.496 0.718  0.03
26 O 0.504 0.798 0.782  0.03
27 O 0.887 0.775 0.083  0.00
28 O 0.416 0.236 0.987  0.00
29 O 0.809 0.787 0.397  0.00
30 O 0.934 0.321 0.453  0.03
31 O 0.321 0.387 0.287  0.03
32 O 0.887 0.113 0.750  0.00
33 O 0.113 0.887 0.250  0.00
34 O 0.191 0.977 0.936  0.00
35 O 0.496 0.202 0.282  0.03
36 O 0.023 0.809 0.564  0.00
37 O 0.066 0.679 0.953  0.03
38 O 0.775 0.887 0.917  0.00
39 O 0.387 0.321 0.713  0.03
40 O 0.798 0.504 0.218  0.03
41 O 0.787 0.977 0.231  0.00
42 O 0.504 0.706 0.051  0.03
43 O 0.321 0.934 0.547  0.03
44 O 0.142 0.620 0.545  0.03
45 O 0.764 0.180 0.320  0.00
46 O 0.977 0.191 0.064  0.00
47 O 0.236 0.820 0.820  0.00
48 O 0.764 0.584 0.513  0.00
49 O 0.798 0.294 0.616  0.03
50 O 0.613 0.934 0.620  0.03
51 O 0.225 0.113 0.417  0.00
52 O 0.934 0.613 0.380  0.03
53 O 0.679 0.613 0.787  0.03
54 O 0.706 0.202 0.884  0.03
55 O 0.613 0.679 0.213  0.03
56 O 0.496 0.294 0.551  0.03
57 O 0.584 0.820 0.346  0.00
58 O 0.858 0.380 0.045  0.03
59 O 0.294 0.496 0.449  0.03
60 O 0.820 0.584 0.654  0.00
61 O 0.522 0.142 0.711  0.03
62 O 0.213 0.023 0.731  0.00
63 O 0.294 0.798 0.384  0.03
64 O 0.191 0.213 0.897  0.00
65 O 0.809 0.023 0.436  0.00
66 O 0.380 0.858 0.955  0.03
67 H 0.193 0.596 0.709  0.00
68 H 0.311 0.873 0.431  0.00
69 H 0.562 0.873 0.735  0.00
70 H 0.689 0.127 0.931  0.00
71 H 0.562 0.689 0.098  0.00
72 H 0.035 0.880 0.292  0.00
73 H 0.597 0.404 0.957  0.00
74 H 0.120 0.965 0.208  0.00
75 H 0.155 0.120 0.374  0.00
76 H 0.311 0.438 0.402  0.00
77 H 0.597 0.193 0.876  0.00
78 H 0.596 0.403 0.543  0.00
79 H 0.845 0.965 0.959  0.00
80 H 0.880 0.845 0.126  0.00
81 H 0.965 0.120 0.792  0.00
82 H 0.880 0.035 0.708  0.00
83 H 0.438 0.127 0.235  0.00
84 H 0.403 0.596 0.457  0.00
85 H 0.127 0.438 0.765  0.00
86 H 0.965 0.845 0.041  0.00
87 H 0.155 0.035 0.459  0.00
88 H 0.127 0.689 0.069  0.00
89 H 0.438 0.311 0.598  0.00
90 H 0.873 0.311 0.569  0.00
91 H 0.807 0.403 0.624  0.00
92 H 0.403 0.807 0.376  0.00
93 H 0.193 0.597 0.124  0.00
94 H 0.845 0.880 0.874  0.00
95 H 0.596 0.193 0.291  0.00
96 H 0.120 0.155 0.626  0.00
97 H 0.404 0.807 0.791  0.00
98 H 0.404 0.597 0.043  0.00
99 H 0.873 0.562 0.265  0.00
100 H 0.689 0.562 0.902  0.00
101 H 0.807 0.404 0.209  0.00
102 H 0.035 0.155 0.541  0.00
103 B 0.301 0.150 0.917  0.00
104 B 0.850 0.150 0.250  0.00
105 B 0.150 0.850 0.750  0.00
106 B 0.150 0.301 0.083  0.00
107 B 0.850 0.699 0.583  0.00
108 B 0.699 0.850 0.417  0.00
109 P 0.783 0.172 0.419  0.00
110 P 0.172 0.783 0.581  0.00
111 P 0.390 0.172 0.747  0.00
112 P 0.783 0.610 0.414  0.00
113 P 0.217 0.390 0.914  0.00
114 P 0.390 0.217 0.086  0.00
115 P 0.828 0.217 0.081  0.00
116 P 0.217 0.828 0.919  0.00
117 P 0.610 0.783 0.586  0.00
118 P 0.610 0.828 0.247  0.00
119 P 0.172 0.390 0.253  0.00
120 P 0.828 0.610 0.753  0.00
121 Ni 0.111 0.555 0.417  1.82
122 Ni 0.555 0.111 0.583  1.82
123 Ni 0.445 0.555 0.750  1.82
124 Ni 0.889 0.445 0.917  1.82
125 Ni 0.555 0.445 0.250  1.82
126 Ni 0.445 0.889 0.083  1.82
127 Li 0.467 0.233 0.417  0.00
128 Li 0.767 0.533 0.083  0.00
129 Li 0.233 0.467 0.583  0.00
130 Li 0.233 0.767 0.250  0.00
131 Li 0.767 0.233 0.750  0.00
132 Li 0.533 0.767 0.917  0.00

Results
**Symmetry**: P6_122 (178)
**Total DFT energy (no corrections)**: -6.095 eV per atom
**Magnetic moment**: 2.0 μB per formula unit
**D(E_F)**: 0.0 states/eV/f.u.